# 1
# PBE-GGA NaHg2PdF8, optimized geometry
data_NaHg2PdF8
_chemical_formula_sum 'Na1 Hg2 Pd1 F8'
_symmetry_space_group_name_H-M 'P 1'
_symmetry_Int_Tables_number 1
_symmetry_space_group_name_Hall 'P 1'
_cell_length_a 4.999
_cell_length_b 7.076
_cell_length_c 5.450
_cell_angle_alpha 90.00
_cell_angle_beta 90.50
_cell_angle_gamma 90.00
loop_
_atom_site_label
_atom_site_fract_x
_atom_site_fract_y
_atom_site_fract_z
Na1 0.000 0.000 0.000
Hg1 0.500 0.250 0.500
Hg2 0.500 0.750 0.500
Pd1 0.000 0.500 0.000
F1 0.204 0.288 0.847
F2 0.204 0.712 0.847
F3 0.270 0.500 0.325
F4 0.287 0.000 0.322
F5 0.713 0.000 0.678
F6 0.730 0.500 0.675
F7 0.796 0.288 0.153
F8 0.796 0.712 0.153
# * DOS at the Fermi energy: 0.097 states/eV per atom
# * formation energy without anion corrections: -1.60 eV/atom
# * E: -3.4413 eV/atom

# 2
# PBE-GGA CaIr2Os, optimized geometry
data_CaIr2Os
_chemical_formula_sum 'Ca1 Ir2 Os1'
_symmetry_space_group_name_H-M 'P 1'
_symmetry_Int_Tables_number 1
_symmetry_space_group_name_Hall 'P 1'
_cell_length_a 4.105
_cell_length_b 4.105
_cell_length_c 3.880
_cell_angle_alpha 90.00
_cell_angle_beta 90.00
_cell_angle_gamma 90.00
loop_
_atom_site_label
_atom_site_fract_x
_atom_site_fract_y
_atom_site_fract_z
Ca1 0.000 0.000 0.000
Ir1 0.000 0.500 0.500
Ir2 0.500 0.000 0.500
Os1 0.500 0.500 0.000
# * DOS at the Fermi energy: 1.492 states/eV per atom
# * formation energy: 355 meV per atom
# * E: -7.3834 eV/atom
# * ΔE to the lowest computed polymorph: 1.33 eV/f.u.

# 3
# PBE-GGA LaBTe2N, optimized geometry
data_LaBTe2N
_chemical_formula_sum 'La1 B1 Te2 N1'
_symmetry_space_group_name_H-M 'P 1'
_symmetry_Int_Tables_number 1
_symmetry_space_group_name_Hall 'P 1'
_cell_length_a 6.217
_cell_length_b 6.217
_cell_length_c 2.875
_cell_angle_alpha 90.00
_cell_angle_beta 90.00
_cell_angle_gamma 90.00
loop_
_atom_site_label
_atom_site_fract_x
_atom_site_fract_y
_atom_site_fract_z
La1 0.000 0.000 0.000
B1 0.500 0.500 0.500
Te1 0.000 0.500 0.500
Te2 0.500 0.000 0.500
N1 0.500 0.500 0.000
# * DOS at the Fermi energy: 0.549 states/eV per atom
# * formation energy without anion corrections: -0.22 eV/atom
# * E: -5.4582 eV/atom
# * ΔE to the lowest computed polymorph: 0.00 eV/f.u.

# 4
# PBE-GGA HoEr2Cl, optimized geometry
data_HoEr2Cl
_chemical_formula_sum 'Ho3 Er6 Cl3'
_symmetry_space_group_name_H-M 'P 1'
_symmetry_Int_Tables_number 1
_symmetry_space_group_name_Hall 'P 1'
_cell_length_a 3.407
_cell_length_b 3.407
_cell_length_c 33.406
_cell_angle_alpha 90.00
_cell_angle_beta 90.00
_cell_angle_gamma 120.00
loop_
_atom_site_label
_atom_site_fract_x
_atom_site_fract_y
_atom_site_fract_z
Ho1 0.000 0.000 0.000
Ho2 0.333 0.667 0.667
Ho3 0.667 0.333 0.333
Er1 0.000 0.000 0.100
Er2 0.000 0.000 0.900
Er3 0.333 0.667 0.566
Er4 0.333 0.667 0.767
Er5 0.667 0.333 0.233
Er6 0.667 0.333 0.434
Cl1 0.000 0.000 0.500
Cl2 0.333 0.667 0.167
Cl3 0.667 0.333 0.833
# * DOS at the Fermi energy: 1.384 states/eV per atom
# * formation energy without anion corrections: -0.33 eV/atom
# * E: -4.2189 eV/atom

# 5
# PBE-GGA Al3Cu4, optimized geometry
data_Al3Cu4
_chemical_formula_sum 'Al3 Cu4'
_symmetry_space_group_name_H-M 'P 1'
_symmetry_Int_Tables_number 1
_symmetry_space_group_name_Hall 'P 1'
_cell_length_a 4.983
_cell_length_b 4.983
_cell_length_c 4.599
_cell_angle_alpha 90.00
_cell_angle_beta 90.00
_cell_angle_gamma 120.00
loop_
_atom_site_label
_atom_site_fract_x
_atom_site_fract_y
_atom_site_fract_z
Al1 0.000 0.500 0.000
Al2 0.500 0.000 0.000
Al3 0.500 0.500 0.000
Cu1 0.000 0.000 0.250
Cu2 0.000 0.000 0.750
Cu3 0.333 0.667 0.500
Cu4 0.667 0.333 0.500
# * DOS at the Fermi energy: 0.639 states/eV per atom
# * formation energy: 105 meV per atom
# * E: -3.8400 eV/atom
# * ΔE to the lowest computed polymorph: 2.07 eV/f.u.

# 6
# PBE-GGA Fe2TcTe, optimized geometry
data_Fe2TcTe
_chemical_formula_sum 'Fe8 Tc4 Te4'
_symmetry_space_group_name_H-M 'P 1'
_symmetry_Int_Tables_number 1
_symmetry_space_group_name_Hall 'P 1'
_cell_length_a 6.151
_cell_length_b 6.151
_cell_length_c 6.151
_cell_angle_alpha 90.00
_cell_angle_beta 90.00
_cell_angle_gamma 90.00
loop_
_atom_site_label
_atom_site_fract_x
_atom_site_fract_y
_atom_site_fract_z
Fe1 0.000 0.000 0.000
Fe2 0.000 0.500 0.500
Fe3 0.250 0.250 0.250
Fe4 0.250 0.750 0.750
Fe5 0.500 0.000 0.500
Fe6 0.500 0.500 0.000
Fe7 0.750 0.250 0.750
Fe8 0.750 0.750 0.250
Tc1 0.000 0.000 0.500
Tc2 0.000 0.500 0.000
Tc3 0.500 0.000 0.000
Tc4 0.500 0.500 0.500
Te1 0.250 0.250 0.750
Te2 0.250 0.750 0.250
Te3 0.750 0.250 0.250
Te4 0.750 0.750 0.750
# * DOS at the Fermi energy: 0.842 states/eV per atom
# * formation energy without anion corrections: 0.32 eV/atom
# * E: -7.2930 eV/atom

# 7
# PBE-GGA CsAlAs2Br, optimized geometry
data_CsAlAs2Br
_chemical_formula_sum 'Cs1 Al1 As2 Br1'
_symmetry_space_group_name_H-M 'P 1'
_symmetry_Int_Tables_number 1
_symmetry_space_group_name_Hall 'P 1'
_cell_length_a 4.917
_cell_length_b 4.917
_cell_length_c 6.413
_cell_angle_alpha 90.00
_cell_angle_beta 90.00
_cell_angle_gamma 90.00
loop_
_atom_site_label
_atom_site_fract_x
_atom_site_fract_y
_atom_site_fract_z
Cs1 0.000 0.000 0.000
Al1 0.500 0.500 0.500
As1 0.000 0.500 0.500
As2 0.500 0.000 0.500
Br1 0.500 0.500 0.000
# * DOS at the Fermi energy: 1.042 states/eV per atom
# * formation energy without anion corrections: -0.23 eV/atom
# * E: -3.3403 eV/atom
# * ΔE to the lowest computed polymorph: 0.00 eV/f.u.

# 8
# PBE-GGA Na3HfBi2Te6, optimized geometry
data_Na3HfBi2Te6
_chemical_formula_sum 'Na3 Hf1 Bi2 Te6'
_symmetry_space_group_name_H-M 'P 1'
_symmetry_Int_Tables_number 1
_symmetry_space_group_name_Hall 'P 1'
_cell_length_a 7.813
_cell_length_b 7.813
_cell_length_c 7.850
_cell_angle_alpha 99.59
_cell_angle_beta 99.59
_cell_angle_gamma 120.32
loop_
_atom_site_label
_atom_site_fract_x
_atom_site_fract_y
_atom_site_fract_z
Na1 0.000 0.000 0.000
Na2 0.321 0.679 0.000
Na3 0.679 0.321 0.000
Hf1 0.500 0.500 0.500
Bi1 0.164 0.836 0.500
Bi2 0.836 0.164 0.500
Te1 0.116 0.425 0.275
Te2 0.270 0.270 0.729
Te3 0.425 0.116 0.275
Te4 0.575 0.884 0.725
Te5 0.730 0.730 0.271
Te6 0.884 0.575 0.725
# * DOS at the Fermi energy: 0.520 states/eV per atom
# * formation energy without anion corrections: -0.61 eV/atom
# * E: -3.9838 eV/atom